Ag2GeBF: relaxed, PBE.

Unit cell a=4.549 b=3.713 c=4.549 alpha=90.00 beta=90.00 gamma=90.00
Fractional positions:
Ge  0.500  0.500  0.500
B  0.000  0.000  0.000
Ag  0.000  0.000  0.500
Ag  0.500  0.000  0.000
F  0.000  0.500  0.000

Uncorrected energy = -3.508 eV/atom
Uncorrected formation energy = 1.3 eV per formula unit
Symmetry = P4/mmm, No. 123
Size of the total moment = 0.00 μB/atom